Record 1
An optimized crystal structure of Pm12Ge3B5. Source: Alexandria via LeMat-Bulk, functional PBE.

Values from the calculation:
Energy of formation = -0.75 eV per formula unit
Crystal system = cubic
Total magnetic moment = 0.00 μB per cell
Final energy = -5.250 eV per atom
Space group = Ia-3d

a = 14.211 Å, b = 14.211 Å, c = 14.211 Å
α = 109.47°, β = 109.47°, γ = 109.47°
Positions (direct):
Ge  0.750  0.375  0.125
Ge  0.875  0.750  0.125
Ge  0.375  0.750  0.625
Ge  0.250  0.125  0.375
Ge  0.875  0.125  0.250
Ge  0.375  0.625  0.250
Ge  0.625  0.375  0.750
Ge  0.125  0.875  0.750
Ge  0.750  0.875  0.625
Ge  0.625  0.250  0.375
Ge  0.125  0.250  0.875
Ge  0.250  0.625  0.875
B  0.125  0.375  0.250
B  0.000  0.500  0.000
B  0.000  0.000  0.000
B  0.375  0.250  0.125
B  0.500  0.000  0.500
B  0.500  0.500  0.000
B  0.125  0.750  0.375
B  0.750  0.125  0.875
B  0.750  0.625  0.375
B  0.375  0.125  0.750
B  0.625  0.875  0.250
B  0.500  0.500  0.500
B  0.500  0.000  0.000
B  0.000  0.000  0.500
B  0.250  0.375  0.625
B  0.250  0.875  0.125
B  0.000  0.500  0.500
B  0.875  0.250  0.625
B  0.625  0.750  0.875
B  0.875  0.625  0.750
Pm  0.708  0.123  0.031
Pm  0.323  0.531  0.409
Pm  0.969  0.377  0.292
Pm  0.531  0.208  0.123
Pm  0.586  0.708  0.677
Pm  0.969  0.591  0.177
Pm  0.323  0.792  0.414
Pm  0.091  0.914  0.123
Pm  0.591  0.969  0.677
Pm  0.708  0.586  0.177
Pm  0.792  0.469  0.377
Pm  0.823  0.909  0.031
Pm  0.123  0.708  0.531
Pm  0.377  0.409  0.086
Pm  0.086  0.909  0.377
Pm  0.414  0.123  0.591
Pm  0.086  0.177  0.208
Pm  0.469  0.677  0.091
Pm  0.823  0.914  0.292
Pm  0.123  0.414  0.091
Pm  0.377  0.969  0.792
Pm  0.591  0.623  0.414
Pm  0.909  0.823  0.531
Pm  0.792  0.323  0.914
Pm  0.409  0.377  0.586
Pm  0.091  0.177  0.469
Pm  0.208  0.677  0.086
Pm  0.177  0.086  0.708
Pm  0.623  0.031  0.208
Pm  0.877  0.586  0.909
Pm  0.531  0.323  0.909
Pm  0.586  0.877  0.409
Pm  0.914  0.823  0.792
Pm  0.914  0.091  0.623
Pm  0.877  0.292  0.469
Pm  0.177  0.091  0.969
Pm  0.623  0.591  0.914
Pm  0.409  0.031  0.323
Pm  0.292  0.414  0.823
Pm  0.208  0.531  0.623
Pm  0.909  0.086  0.877
Pm  0.677  0.208  0.586
Pm  0.469  0.792  0.877
Pm  0.031  0.409  0.823
Pm  0.414  0.292  0.323
Pm  0.031  0.623  0.708
Pm  0.677  0.469  0.591
Pm  0.292  0.877  0.969

Record 2
An optimized crystal structure of PmGeB. Source: Alexandria via LeMat-Bulk, functional PBE.

Values from the calculation:
Energy of formation = 0.15 eV per formula unit
Crystal system = trigonal
Total magnetic moment = 0.00 μB per cell
Final energy = -5.300 eV per atom
Energy above the most stable polymorph in this dataset = 1.58 eV/f.u.
Space group = P3_212

a = 5.237 Å, b = 5.237 Å, c = 8.223 Å
α = 90.00°, β = 90.00°, γ = 120.00°
Positions (direct):
Ge  0.979  0.490  0.611
Ge  0.510  0.021  0.945
Ge  0.510  0.490  0.278
Pm  0.853  0.147  0.278
Pm  0.853  0.707  0.945
Pm  0.293  0.147  0.611
B  0.842  0.682  0.444
B  0.841  0.158  0.778
B  0.318  0.159  0.111

Record 3
An optimized crystal structure of PmGeB. Source: Alexandria via LeMat-Bulk, functional PBE.

Values from the calculation:
Energy of formation = -0.92 eV per formula unit
Crystal system = monoclinic
Total magnetic moment = 0.00 μB per cell
Final energy = -5.655 eV per atom
Energy above the most stable polymorph in this dataset = 0.52 eV/f.u.
Space group = C2/m

a = 3.227 Å, b = 4.248 Å, c = 8.919 Å
α = 97.78°, β = 90.00°, γ = 112.32°
Positions (direct):
Pm  0.034  0.067  0.699
Pm  0.966  0.933  0.301
Ge  0.650  0.299  0.062
Ge  0.350  0.701  0.938
B  0.275  0.551  0.500
B  0.725  0.449  0.500

Question: final energy of number 1 (Pm12Ge3B5)?
Answer: -5.250 eV per atom